No. 1
# CaYCl2

A relaxed structure of CaYCl2 (PBE, the Alexandria database).

Output
* mass density: 2.669 g/cm³
* excess energy over the best structure of this formula in the dataset: 78 meV per atom
* ΔE_f (raw): -1.407 eV per atom
* VASP energy: -35.57 eV for the cell shown

Lattice parameters (Å, degrees): 3.5477 3.5511 19.7426 90.00 90.00 90.00
With the nearest neighbours (Å) after each atom.
Space group Imm2 (No. 44)
Unique sites:
Ca 0.0000 0.0000 0.0000 x2  4 Cl 2.85
Y 0.0000 0.5000 0.3370 x2  4 Cl 2.86
Cl 0.0000 0.0000 0.5687 x2  4 Ca 2.85
Cl 0.0000 0.5000 0.7680 x2  4 Y 2.86


No. 2
# Ca2YCl

A relaxed structure of Ca2YCl (PBE, the Alexandria database).

Output
* mass density: 2.330 g/cm³
* excess energy over the best structure of this formula in the dataset: 293 meV per atom
* ΔE_f (raw): -0.477 eV per atom
* VASP energy: -28.45 eV for the cell shown

Lattice parameters (Å, degrees): 5.5251 3.7719 13.9886 90.00 90.00 90.00
With the nearest neighbours (Å) after each atom.
Space group Amm2 (No. 38)
Unique sites:
Ca 0.0000 0.0000 0.0000 x2  3 Y 3.63-3.86, 6 Ca 3.77-3.87
Ca 0.5000 0.0000 0.3602 x2  2 Cl 2.89
Y 0.0000 0.0000 0.7408 x2  2 Cl 2.81
Cl 0.5000 0.0000 0.7039 x2  2 Y 2.81, 2 Ca 2.89


No. 3
# CaYCl2

A relaxed structure of CaYCl2 (PBE, the Alexandria database).

Output
* mass density: 2.886 g/cm³
* excess energy over the best structure of this formula in the dataset: 97 meV per atom
* ΔE_f (raw): -1.388 eV per atom
* VASP energy: -53.13 eV for the cell shown

Lattice parameters (Å, degrees): 3.8655 3.8655 26.6675 90.00 90.00 120.00
With the nearest neighbours (Å) after each atom.
Space group R-3m (No. 166, hexagonal axes)
Unique sites:
Ca 0.0000 0.0000 0.0000 x3  6 Cl 2.74
Y 0.0000 0.0000 0.5000 x3  2 Cl 2.85
Cl 0.0000 0.0000 0.3931 x6  3 Ca 2.74, 1 Y 2.85


No. 4
# Ca2YCl

A relaxed structure of Ca2YCl (PBE, the Alexandria database).

Output
* mass density: 2.702 g/cm³
* excess energy over the best structure of this formula in the dataset: 253 meV per atom
* ΔE_f (raw): -0.517 eV per atom
* VASP energy: -14.38 eV for the cell shown

Lattice parameters (Å, degrees): 3.5437 3.5437 10.0075 90.00 90.00 90.00
With the nearest neighbours (Å) after each atom.
Space group P4mm (No. 99)
Unique sites:
Ca 0.0000 0.0000 0.0000 x1  8 Ca 3.54-3.90, 4 Y 3.72
Ca 0.5000 0.5000 0.2984 x1  4 Cl 3.35, 4 Ca 3.54
Y 0.5000 0.5000 0.7249 x1  4 Cl 3.24, 4 Y 3.54
Cl 0.0000 0.0000 0.5201 x1  4 Y 3.24, 4 Ca 3.35, 4 Cl 3.54


No. 5
# Ca2YCl

A relaxed structure of Ca2YCl (PBE, the Alexandria database).

Output
* mass density: 2.579 g/cm³
* excess energy over the best structure of this formula in the dataset: 269 meV per atom
* ΔE_f (raw): -0.502 eV per atom
* VASP energy: -28.64 eV for the cell shown

Lattice parameters (Å, degrees): 3.5798 6.5982 11.1494 90.00 90.00 90.00
With the nearest neighbours (Å) after each atom.
Space group Immm (No. 71)
Unique sites:
Ca 0.0000 0.0000 0.2032 x4  2 Cl 2.89
Y 0.0000 0.5000 0.0000 x2  2 Y 3.58, 4 Cl 3.75, 8 Ca 3.76-4.00
Cl 0.0000 0.5000 0.5000 x2  4 Ca 2.89


No. 6
# CaYCl2

A relaxed structure of CaYCl2 (PBE, the Alexandria database).

Output
* mass density: 2.627 g/cm³
* excess energy over the best structure of this formula in the dataset: 290 meV per atom
* ΔE_f (raw): -1.195 eV per atom
* VASP energy: -16.94 eV for the cell shown

Lattice parameters (Å, degrees): 3.4403 3.4403 10.6750 90.00 90.00 90.00
With the nearest neighbours (Å) after each atom.
Space group P4/mmm (No. 123)
Unique sites:
Ca 0.0000 0.0000 0.0000 x1  4 Ca 3.44
Y 0.0000 0.0000 0.5000 x1  8 Cl 2.90
Cl 0.5000 0.5000 0.3522 x2  4 Y 2.90, 1 Cl 3.16


> What is the ΔE_f (raw) in the third record?

-1.388 eV per atom


> Among the records above, which one has the lowest excess energy over the best structure of this formula in the dataset?

number 1